Below is a PBEsol-optimized structure of Sr3Ru, with properties calculated at the meta-GGA SCAN level.

a = 3.6822 Å, b = 3.6822 Å, c = 10.1401 Å
α = 90.00°, β = 90.00°, γ = 90.09°
Fractional positions:
1 Sr 0.0000 0.0000 0.0000
2 Sr 0.5000 0.5000 0.3335
3 Sr 0.5000 0.5000 0.6665
4 Ru 0.0000 0.0000 0.5000

Properties
D(E_F) in states/eV/atom: 0.8476
ΔH_f (0 K) in kJ/mol of formula units: 152

---

Below is a PBEsol-optimized structure of Sr2Ru3, with properties calculated at the meta-GGA SCAN level.

a = 9.3295 Å, b = 9.3295 Å, c = 9.3295 Å
α = 24.19°, β = 24.19°, γ = 24.19°
Fractional positions:
1 Sr 0.0921 0.0921 0.0921
2 Sr 0.9079 0.9079 0.9079
3 Ru 0.3428 0.3428 0.3428
4 Ru 0.5000 0.5000 0.5000
5 Ru 0.6572 0.6572 0.6572

Properties
D(E_F) in states/eV/atom: 0.9204
ΔH_f (0 K) in kJ/mol of formula units: 334

---

Below is a PBEsol-optimized structure of Sr3Ru, with properties calculated at the meta-GGA SCAN level.

a = 5.5270 Å, b = 5.5270 Å, c = 5.5270 Å
α = 120.28°, β = 120.28°, γ = 89.52°
Fractional positions:
1 Sr 0.0000 0.0000 0.0000
2 Sr 0.2500 0.7500 0.5000
3 Sr 0.7500 0.2500 0.5000
4 Ru 0.5000 0.5000 0.0000

Properties
D(E_F) in states/eV/atom: 0.3530
ΔH_f (0 K) in kJ/mol of formula units: 225

---

Below is a PBEsol-optimized structure of Sr3Ru, with properties calculated at the meta-GGA SCAN level.

a = 4.9427 Å, b = 4.9427 Å, c = 4.9431 Å
α = 90.00°, β = 90.00°, γ = 90.00°
Fractional positions:
1 Sr 0.0000 0.0000 0.0000
2 Sr 0.0000 0.5000 0.4995
3 Sr 0.5000 0.0000 0.4995
4 Ru 0.5000 0.5000 0.0023

Properties
D(E_F) in states/eV/atom: 0.4232
ΔH_f (0 K) in kJ/mol of formula units: 243

---

Below is a PBEsol-optimized structure of SrTa2Ru, with properties calculated at the meta-GGA SCAN level.

a = 4.7370 Å, b = 4.7370 Å, c = 4.7370 Å
α = 60.00°, β = 60.00°, γ = 60.00°
Fractional positions:
1 Sr 0.0000 0.0000 0.0000
2 Ta 0.2500 0.2500 0.2500
3 Ta 0.5000 0.5000 0.5000
4 Ru 0.7500 0.7500 0.7500

Properties
D(E_F) in states/eV/atom: 0.8846
ΔH_f (0 K) in kJ/mol of formula units: 325

---

Below is a PBEsol-optimized structure of SrTa3Ru, with properties calculated at the meta-GGA SCAN level.

a = 4.6745 Å, b = 4.6745 Å, c = 4.6745 Å
α = 90.00°, β = 90.00°, γ = 90.00°
Fractional positions:
1 Sr 0.0000 0.0000 0.0000
2 Ta 0.0000 0.0000 0.5000
3 Ta 0.0000 0.5000 0.0000
4 Ta 0.5000 0.0000 0.0000
5 Ru 0.5000 0.5000 0.5000

Properties
D(E_F) in states/eV/atom: 1.1449
ΔH_f (0 K) in kJ/mol of formula units: 1618